SmTmNi | PBE-GGA | optimized geometry

Properties
symmetry = P3m1 (156)
relative energy among the computed polymorphs = 59.2 kJ/mol of formula units

Unit cell a=4.512 b=4.512 c=4.118 alpha=90.00 beta=90.00 gamma=120.00
Atoms (fractional coordinates):
Sm1 0.000 0.000 0.000
Tm1 0.333 0.667 0.511
Ni1 0.667 0.333 0.321

SmTm5Ni2 | PBE-GGA | optimized geometry

Properties
symmetry = Cmcm (63)
calculated total energy = -4.996 eV/atom

Unit cell a=6.692 b=6.692 c=18.126 alpha=90.00 beta=90.00 gamma=148.94
Atoms (fractional coordinates):
Sm1 0.188 0.812 0.750
Sm2 0.812 0.188 0.250
Tm1 0.085 0.915 0.250
Tm2 0.171 0.829 0.557
Tm3 0.171 0.829 0.943
Tm4 0.437 0.563 0.589
Tm5 0.437 0.563 0.911
Tm6 0.563 0.437 0.089
Tm7 0.563 0.437 0.411
Tm8 0.829 0.171 0.057
Tm9 0.829 0.171 0.443
Tm10 0.915 0.085 0.750
Ni1 0.214 0.786 0.134
Ni2 0.214 0.786 0.366
Ni3 0.786 0.214 0.634
Ni4 0.786 0.214 0.866

Sm2TmNi | PBE-GGA | optimized geometry

Properties
symmetry = Pnma (62)
calculated total energy = -5.140 eV/atom

Unit cell a=6.895 b=9.792 c=6.326 alpha=90.00 beta=90.00 gamma=90.00
Atoms (fractional coordinates):
Sm1 0.182 0.066 0.177
Sm2 0.182 0.434 0.177
Sm3 0.318 0.566 0.677
Sm4 0.318 0.934 0.677
Sm5 0.682 0.066 0.323
Sm6 0.682 0.434 0.323
Sm7 0.818 0.566 0.823
Sm8 0.818 0.934 0.823
Tm1 0.038 0.250 0.648
Tm2 0.462 0.750 0.148
Tm3 0.538 0.250 0.852
Tm4 0.962 0.750 0.352
Ni1 0.110 0.750 0.950
Ni2 0.390 0.250 0.450
Ni3 0.610 0.750 0.550
Ni4 0.890 0.250 0.050

SmTmNi10 | PBE-GGA | optimized geometry

Properties
symmetry = Pmmm (47)
calculated total energy = -5.901 eV/atom

Unit cell a=3.959 b=4.889 c=8.460 alpha=90.00 beta=90.00 gamma=90.00
Atoms (fractional coordinates):
Sm1 0.000 0.000 0.000
Tm1 0.000 0.500 0.500
Ni1 0.000 0.000 0.337
Ni2 0.000 0.000 0.663
Ni3 0.000 0.500 0.171
Ni4 0.000 0.500 0.829
Ni5 0.500 0.000 0.500
Ni6 0.500 0.252 0.254
Ni7 0.500 0.252 0.746
Ni8 0.500 0.500 0.000
Ni9 0.500 0.748 0.254
Ni10 0.500 0.748 0.746

SmTm3Ni | PBE-GGA | optimized geometry

Properties
symmetry = Pm-3m (221)
relative energy among the computed polymorphs = 43.0 kJ/mol of formula units

Unit cell a=5.249 b=5.249 c=5.249 alpha=90.00 beta=90.00 gamma=90.00
Atoms (fractional coordinates):
Sm1 0.000 0.000 0.000
Tm1 0.000 0.500 0.500
Tm2 0.500 0.000 0.500
Tm3 0.500 0.500 0.000
Ni1 0.500 0.500 0.500

SmTmZnNi | PBE-GGA | optimized geometry

Properties
symmetry = F-43m (216)
calculated total energy = -4.386 eV/atom

Unit cell a=6.973 b=6.973 c=6.973 alpha=90.00 beta=90.00 gamma=90.00
Atoms (fractional coordinates):
Sm1 0.000 0.000 0.000
Sm2 0.000 0.500 0.500
Sm3 0.500 0.000 0.500
Sm4 0.500 0.500 0.000
Tm1 0.000 0.000 0.500
Tm2 0.000 0.500 0.000
Tm3 0.500 0.000 0.000
Tm4 0.500 0.500 0.500
Zn1 0.250 0.250 0.250
Zn2 0.250 0.750 0.750
Zn3 0.750 0.250 0.750
Zn4 0.750 0.750 0.250
Ni1 0.250 0.250 0.750
Ni2 0.250 0.750 0.250
Ni3 0.750 0.250 0.250
Ni4 0.750 0.750 0.750

Sm2TmZn12Ni3 | PBE-GGA | optimized geometry

Properties
symmetry = R-3m (166)
calculated total energy = -2.479 eV/atom

Unit cell a=8.238 b=8.238 c=8.238 alpha=55.91 beta=55.91 gamma=55.91
Atoms (fractional coordinates):
Sm1 0.094 0.094 0.094
Sm2 0.906 0.906 0.906
Tm1 0.500 0.500 0.500
Zn1 0.017 0.663 0.663
Zn2 0.258 0.258 0.641
Zn3 0.258 0.641 0.258
Zn4 0.337 0.337 0.983
Zn5 0.337 0.983 0.337
Zn6 0.359 0.742 0.742
Zn7 0.641 0.258 0.258
Zn8 0.663 0.017 0.663
Zn9 0.663 0.663 0.017
Zn10 0.742 0.359 0.742
Zn11 0.742 0.742 0.359
Zn12 0.983 0.337 0.337
Ni1 0.000 0.500 0.500
Ni2 0.500 0.000 0.500
Ni3 0.500 0.500 0.000

Sm2UNi9 | PBE-GGA | optimized geometry

Properties
symmetry = R-3m (166)
calculated total energy = -6.347 eV/atom

Unit cell a=8.741 b=8.741 c=8.741 alpha=32.85 beta=32.85 gamma=32.85
Atoms (fractional coordinates):
Sm1 0.138 0.138 0.138
Sm2 0.862 0.862 0.862
U1 0.000 0.000 0.000
Ni1 0.081 0.580 0.580
Ni2 0.333 0.333 0.333
Ni3 0.420 0.420 0.919
Ni4 0.420 0.919 0.420
Ni5 0.500 0.500 0.500
Ni6 0.580 0.081 0.580
Ni7 0.580 0.580 0.081
Ni8 0.667 0.667 0.667
Ni9 0.919 0.420 0.420

SmUNi17 | PBE-GGA | optimized geometry

Properties
symmetry = R3m (160)
calculated total energy = -6.169 eV/atom

Unit cell a=6.243 b=6.243 c=6.243 alpha=82.95 beta=82.95 gamma=82.95
Atoms (fractional coordinates):
Sm1 0.000 0.000 0.000
U1 0.327 0.327 0.327
Ni1 0.012 0.012 0.502
Ni2 0.012 0.502 0.012
Ni3 0.160 0.663 0.663
Ni4 0.316 0.316 0.811
Ni5 0.316 0.811 0.316
Ni6 0.366 0.658 0.960
Ni7 0.366 0.960 0.658
Ni8 0.502 0.012 0.012
Ni9 0.558 0.558 0.558
Ni10 0.658 0.366 0.960
Ni11 0.658 0.960 0.366
Ni12 0.663 0.160 0.663
Ni13 0.663 0.663 0.160
Ni14 0.758 0.758 0.758
Ni15 0.811 0.316 0.316
Ni16 0.960 0.366 0.658
Ni17 0.960 0.658 0.366

Sm2YNi | PBE-GGA | optimized geometry

Properties
symmetry = Pnma (62)
relative energy among the computed polymorphs = 0.0 kJ/mol of formula units

Unit cell a=6.956 b=9.868 c=6.351 alpha=90.00 beta=90.00 gamma=90.00
Atoms (fractional coordinates):
Sm1 0.180 0.067 0.176
Sm2 0.180 0.433 0.176
Sm3 0.320 0.567 0.676
Sm4 0.320 0.933 0.676
Sm5 0.680 0.067 0.324
Sm6 0.680 0.433 0.324
Sm7 0.820 0.567 0.824
Sm8 0.820 0.933 0.824
Y1 0.035 0.250 0.646
Y2 0.465 0.750 0.146
Y3 0.535 0.250 0.854
Y4 0.965 0.750 0.354
Ni1 0.111 0.750 0.940
Ni2 0.389 0.250 0.440
Ni3 0.611 0.750 0.560
Ni4 0.889 0.250 0.060

Sm3Y3Ni4 | PBE-GGA | optimized geometry

Properties
symmetry = Amm2 (38)
calculated total energy = -5.940 eV/atom

Unit cell a=3.898 b=7.624 c=7.624 alpha=89.31 beta=90.00 gamma=90.00
Atoms (fractional coordinates):
Sm1 0.000 0.000 0.000
Sm2 0.500 0.341 0.846
Sm3 0.500 0.846 0.341
Y1 0.000 0.179 0.508
Y2 0.000 0.508 0.179
Y3 0.000 0.672 0.672
Ni1 0.500 0.223 0.223
Ni2 0.500 0.463 0.463
Ni3 0.500 0.715 0.958
Ni4 0.500 0.958 0.715

Sm2YNi | PBE-GGA | optimized geometry

Properties
symmetry = R3m (160)
relative energy among the computed polymorphs = 60.0 kJ/mol of formula units

Unit cell a=3.835 b=3.835 c=27.313 alpha=90.00 beta=90.00 gamma=120.00
Atoms (fractional coordinates):
Sm1 0.000 0.000 0.000
Sm2 0.000 0.000 0.213
Sm3 0.333 0.667 0.667
Sm4 0.333 0.667 0.879
Sm5 0.667 0.333 0.333
Sm6 0.667 0.333 0.546
Y1 0.000 0.000 0.441
Y2 0.333 0.667 0.107
Y3 0.667 0.333 0.774
Ni1 0.000 0.000 0.606
Ni2 0.333 0.667 0.273
Ni3 0.667 0.333 0.939